Entry 1:
A plane-wave DFT calculation with GGA-PBE was carried out for a geometry-optimized Tb4TlAg2 structure.

Structure (POSCAR):
```
Tb4TlAg2
1.0
-2.449 -1.594 -4.020
1.769 -3.826 -2.632
-5.289 -7.945 3.301
Tb Ag Tl
4 2 1
Direct
0.380 0.380 0.859 Tb
0.620 0.620 0.141 Tb
0.204 0.204 0.389 Tb
0.796 0.796 0.611 Tb
0.101 0.101 0.697 Ag
0.899 0.899 0.303 Ag
0.000 0.000 0.000 Tl
```

Computed properties:
Formation enthalpy at 0 K (eV per atom): -0.0409
Spin magnetization (μB/cell): 0.00
E above lowest polymorph (meV/atom): 129
Uncorrected energy (eV/atom): -3.839

Entry 2:
A plane-wave DFT calculation with GGA-PBE was carried out for a geometry-optimized Tb4Tl2Ag3 structure.

Structure (POSCAR):
```
Tb4Tl2Ag3
1.0
4.964 0.001 0.001
2.481 4.988 0.715
-0.002 0.859 9.246
Tb Tl Ag
4 2 3
Direct
0.941 0.118 0.657 Tb
0.059 0.882 0.343 Tb
0.640 0.720 0.897 Tb
0.360 0.280 0.103 Tb
0.728 0.544 0.260 Tl
0.272 0.456 0.740 Tl
0.635 0.730 0.568 Ag
0.365 0.270 0.432 Ag
0.000 0.000 0.000 Ag
```

Computed properties:
Formation enthalpy at 0 K (eV per atom): -0.2627
Spin magnetization (μB/cell): 0.00
Uncorrected energy (eV/atom): -3.797

Entry 3:
A plane-wave DFT calculation with GGA-PBE was carried out for a geometry-optimized TbTlAg2 structure.

Structure (POSCAR):
```
TbTlAg2
1.0
-3.797 -0.622 -3.201
-1.105 -4.571 -1.714
-4.189 -2.291 1.501
Tl Ag Tb
1 2 1
Direct
0.000 0.000 0.000 Tl
0.250 0.250 0.250 Ag
0.750 0.750 0.750 Ag
0.500 0.500 0.500 Tb
```

Computed properties:
Formation enthalpy at 0 K (eV per atom): -0.2340
Spin magnetization (μB/cell): 0.00
E above lowest polymorph (meV/atom): 0
Uncorrected energy (eV/atom): -3.409

Entry 4:
A plane-wave DFT calculation with GGA-PBE was carried out for a geometry-optimized Tb6TlAg5 structure.

Structure (POSCAR):
```
Tb6TlAg5
1.0
4.920 -0.030 1.644
0.040 7.419 0.013
0.008 -0.015 8.199
Tb Ag Tl
6 5 1
Direct
0.831 0.254 0.339 Tb
0.830 0.746 0.339 Tb
0.500 0.741 0.000 Tb
0.169 0.746 0.661 Tb
0.500 0.259 0.000 Tb
0.170 0.254 0.661 Tb
0.666 0.500 0.668 Ag
0.664 0.000 0.672 Ag
0.336 0.000 0.328 Ag
0.000 0.500 0.000 Ag
0.334 0.500 0.332 Ag
0.000 0.000 0.000 Tl
```

Computed properties:
Formation enthalpy at 0 K (eV per atom): -0.3179
Spin magnetization (μB/cell): 0.00
Uncorrected energy (eV/atom): -4.018

Entry 5:
A plane-wave DFT calculation with GGA-PBE was carried out for a geometry-optimized Tb2Tl3Ag structure.

Structure (POSCAR):
```
Tb2Tl3Ag
1.0
6.076 -0.943 0.000
-1.178 6.035 0.000
-2.449 -2.546 8.706
Tl Tb Ag
6 4 2
Direct
0.172 0.655 0.827 Tl
0.655 0.172 0.827 Tl
0.829 0.829 0.659 Tl
0.171 0.171 0.341 Tl
0.828 0.345 0.173 Tl
0.345 0.828 0.173 Tl
0.251 0.251 0.000 Tb
0.750 0.250 0.500 Tb
0.250 0.750 0.500 Tb
0.749 0.749 0.000 Tb
0.332 0.332 0.665 Ag
0.668 0.668 0.335 Ag
```

Computed properties:
Formation enthalpy at 0 K (eV per atom): -0.2173
Spin magnetization (μB/cell): 0.00
Uncorrected energy (eV/atom): -3.419

Entry 6:
A plane-wave DFT calculation with GGA-PBE was carried out for a geometry-optimized Tb4TlAg2 structure.

Structure (POSCAR):
```
Tb4TlAg2
1.0
-2.664 -3.993 1.974
-2.174 -3.489 -3.168
5.296 -6.996 -0.181
Tb Ag Tl
4 2 1
Direct
0.869 0.869 0.393 Tb
0.615 0.615 0.155 Tb
0.385 0.385 0.845 Tb
0.131 0.131 0.607 Tb
0.254 0.254 0.237 Ag
0.746 0.746 0.763 Ag
0.000 0.000 0.000 Tl
```

Computed properties:
Formation enthalpy at 0 K (eV per atom): -0.1704
Spin magnetization (μB/cell): 0.01
E above lowest polymorph (meV/atom): 0
Uncorrected energy (eV/atom): -3.969